Here is an optimized crystal structure of Sm2TeC from Alexandria via LeMat-Bulk. Energies are from PBE.

Unit cell a=3.9357 b=3.9357 c=21.5649 alpha=90.00 beta=90.00 gamma=120.00
Last column: nearest neighbours and their distance in Å.
Space group R-3m (No. 166, hexagonal axes)
Symmetry-distinct sites (fractional):
Sm: 0.0000 0.0000 0.2302 x6  3 C 2.65
Te: 0.0000 0.0000 0.0000 x3  6 Sm 3.18
C: 0.0000 0.0000 0.5000 x3  6 Sm 2.65

Properties
Density of states at the Fermi level, states/eV per atom: 0.212
E_form (uncorrected), eV per formula unit: -3.2

=====

Here is an optimized crystal structure of CeAl3 from Alexandria via LeMat-Bulk. Energies are from PBE.

Unit cell a=6.3949 b=6.3949 c=4.6301 alpha=90.00 beta=90.00 gamma=120.00
Last column: nearest neighbours and their distance in Å.
Space group P6_3/mmc (No. 194)
Symmetry-distinct sites (fractional):
Ce: 0.3333 0.6667 0.2500 x2  12 Al 3.11-3.21
Al: 0.1453 0.2906 0.7500 x6  6 Al 2.79-2.82, 2 Ce 3.11

Properties
ΔH_f (0 K), meV per atom: -416
Density of states at the Fermi level, states/eV per atom: 1.086

=====

Here is an optimized crystal structure of CeNd2Y3P6 from Alexandria via LeMat-Bulk. Energies are from PBE.

Unit cell a=7.0638 b=12.2312 c=7.0500 alpha=90.00 beta=109.50 gamma=90.00
Last column: nearest neighbours and their distance in Å.
Space group C2/m (No. 12)
Symmetry-distinct sites (fractional):
Ce: 0.0000 0.0000 0.0000 x2  6 P 2.87
Nd: 0.0000 0.3337 0.0000 x4  6 P 2.92
Y: 0.0000 0.1676 0.5000 x4  6 P 2.84-2.88
Y: 0.0000 0.5000 0.5000 x2  6 P 2.84-2.90
P: 0.2423 0.0000 0.7446 x4  3 Y 2.85-2.90, 1 Ce 2.87, 2 Nd 2.92
P: 0.2492 0.1639 0.2563 x8  3 Y 2.84-2.88, 1 Ce 2.87, 2 Nd 2.92

Properties
ΔH_f (0 K), meV per atom: -1582
Density of states at the Fermi level, states/eV per atom: 0.431

=====

Here is an optimized crystal structure of LiRuW2 from Alexandria via LeMat-Bulk. Energies are from PBE.

Unit cell a=2.7307 b=2.7307 c=8.4247 alpha=90.00 beta=90.00 gamma=90.00
Last column: nearest neighbours and their distance in Å.
Space group P4/mmm (No. 123)
Symmetry-distinct sites (fractional):
Li: 0.0000 0.0000 0.0000 x1  4 Li 2.73, 8 W 2.99
Ru: 0.0000 0.0000 0.5000 x1  4 Ru 2.73, 8 W 2.73
W: 0.5000 0.5000 0.2703 x2  4 W 2.73, 4 Ru 2.73, 4 Li 2.99

Properties
ΔH_f (0 K), meV per atom: 453
Density of states at the Fermi level, states/eV per atom: 1.188

=====

Here is an optimized crystal structure of Ac6TePb5 from Alexandria via LeMat-Bulk. Energies are from PBE.

Unit cell a=8.3331 b=14.5873 c=8.4585 alpha=90.00 beta=109.64 gamma=90.00
Last column: nearest neighbours and their distance in Å.
Space group C2/m (No. 12)
Symmetry-distinct sites (fractional):
Ac: 0.2487 0.0000 0.2540 x4  1 Te 3.39, 5 Pb 3.42-3.47
Ac: 0.2491 0.1652 0.7502 x8  1 Te 3.41, 5 Pb 3.42-3.47
Te: 0.0000 0.0000 0.5000 x2  6 Ac 3.39-3.41
Pb: 0.0000 0.1645 0.0000 x4  6 Ac 3.42-3.47
Pb: 0.0000 0.3328 0.5000 x4  6 Ac 3.42-3.44
Pb: 0.0000 0.5000 0.0000 x2  6 Ac 3.42-3.47

Properties
Density of states at the Fermi level, states/eV per atom: 1.078
E_form (uncorrected), eV per formula unit: -7.5

=====

Here is an optimized crystal structure of La2Nd3Cu2 from Alexandria via LeMat-Bulk. Energies are from PBE.

Unit cell a=12.6781 b=3.8122 c=9.4307 alpha=90.00 beta=115.73 gamma=90.00
Last column: nearest neighbours and their distance in Å.
Space group C2/m (No. 12)
Symmetry-distinct sites (fractional):
La: 0.1591 0.0000 0.3137 x4  2 Cu 3.10
Nd: 0.0000 0.5000 0.5000 x2  4 Cu 2.95
Nd: 0.1157 0.5000 0.9422 x4  3 Cu 3.02-3.15
Cu: 0.1638 0.0000 0.7293 x4  5 Nd 2.95-3.15, 2 La 3.10

Properties
ΔH_f (0 K), meV per atom: -75
Density of states at the Fermi level, states/eV per atom: 1.323

=====

Here is an optimized crystal structure of PrHo5Tl6 from Alexandria via LeMat-Bulk. Energies are from PBE.

Unit cell a=9.8258 b=11.2796 c=6.5823 alpha=90.00 beta=102.70 gamma=90.00
Last column: nearest neighbours and their distance in Å.
Space group C2/m (No. 12)
Symmetry-distinct sites (fractional):
Pr: 0.0000 0.0000 0.0000 x2  6 Tl 3.31
Ho: 0.0000 0.1662 0.5000 x4  6 Tl 3.18-3.25
Ho: 0.0000 0.3361 0.0000 x4  6 Tl 3.23-3.26
Ho: 0.0000 0.5000 0.5000 x2  6 Tl 3.18-3.24
Tl: 0.2469 0.3282 0.7447 x8  5 Ho 3.18-3.26, 1 Pr 3.31
Tl: 0.2476 0.5000 0.2607 x4  5 Ho 3.18-3.23, 1 Pr 3.31

Properties
ΔH_f (0 K), meV per atom: -246
Density of states at the Fermi level, states/eV per atom: 0.928

=====

Here is an optimized crystal structure of Dy2AlTc from Alexandria via LeMat-Bulk. Energies are from PBE.

Unit cell a=3.3351 b=3.3351 c=31.1735 alpha=90.00 beta=90.00 gamma=120.00
Last column: nearest neighbours and their distance in Å.
Space group R-3m (No. 166, hexagonal axes)
Symmetry-distinct sites (fractional):
Dy: 0.0000 0.0000 0.1006 x6  3 Tc 2.82, 1 Al 3.13
Al: 0.0000 0.0000 0.0000 x3  2 Dy 3.13, 6 Al 3.34
Tc: 0.0000 0.0000 0.5000 x3  6 Dy 2.82

Properties
ΔH_f (0 K), meV per atom: 353
Density of states at the Fermi level, states/eV per atom: 0.939

=====

Here is an optimized crystal structure of AgAs2Os from Alexandria via LeMat-Bulk. Energies are from PBE.

Unit cell a=2.9079 b=4.9720 c=10.2480 alpha=90.00 beta=90.00 gamma=90.00
Last column: nearest neighbours and their distance in Å.
Space group Cmmm (No. 65)
Symmetry-distinct sites (fractional):
Ag: 0.0000 0.0000 0.0000 x2  6 Ag 2.88-2.91
As: 0.0000 0.5000 0.2931 x4  2 Os 2.57
Os: 0.0000 0.0000 0.5000 x2  4 As 2.57

Properties
ΔH_f (0 K), meV per atom: 430
Density of states at the Fermi level, states/eV per atom: 0.839

=====

Here is an optimized crystal structure of AcDy2Y5 from Alexandria via LeMat-Bulk. Energies are from PBE.

Unit cell a=7.2436 b=14.4986 c=5.0948 alpha=90.00 beta=90.00 gamma=90.00
Last column: nearest neighbours and their distance in Å.
Space group Pbam (No. 55)
Symmetry-distinct sites (fractional):
Ac: 0.0000 0.0000 0.0000 x2  8 Y 3.62-3.66, 4 Dy 3.64
Dy: 0.2466 0.3723 0.5000 x4  10 Y 3.54-3.71, 2 Ac 3.64
Y: 0.0001 0.2528 0.0000 x4  4 Dy 3.56-3.63, 7 Y 3.56-3.62, 1 Ac 3.66
Y: 0.0000 0.5000 0.0000 x2  6 Y 3.58-3.62, 4 Dy 3.62, 2 Ac 3.62
Y: 0.2472 0.6280 0.5000 x4  4 Dy 3.54-3.71, 6 Y 3.56-3.62, 2 Ac 3.64

Properties
ΔH_f (0 K), meV per atom: 38
Density of states at the Fermi level, states/eV per atom: 1.364

=====

Here is an optimized crystal structure of Li5In4Hg4 from Alexandria via LeMat-Bulk. Energies are from PBE.

Unit cell a=11.7953 b=11.7953 c=4.0288 alpha=90.00 beta=90.00 gamma=90.00
Last column: nearest neighbours and their distance in Å.
Space group I4/m (No. 87)
Symmetry-distinct sites (fractional):
Li: 0.0000 0.0000 0.0000 x2  4 Hg 2.84, 8 Li 3.11
Li: 0.0414 0.8031 0.5000 x8  4 Hg 2.82-2.92, 3 In 3.05-3.07, 2 Li 3.11
In: 0.0967 0.6145 0.0000 x8  3 Li 3.05-3.07, 3 Hg 3.16, 4 In 3.21
Hg: 0.1373 0.1982 0.0000 x8  5 Li 2.82-2.92, 2 In 3.16

Properties
ΔH_f (0 K), meV per atom: -215
Density of states at the Fermi level, states/eV per atom: 0.385

=====

Here is an optimized crystal structure of YOsBr from Alexandria via LeMat-Bulk. Energies are from PBE.

Unit cell a=3.4330 b=3.4330 c=7.0329 alpha=90.00 beta=90.00 gamma=120.00
Last column: nearest neighbours and their distance in Å.
Space group P3m1 (No. 156)
Symmetry-distinct sites (fractional):
Y: 0.0000 0.0000 0.0000 x1  3 Os 2.80, 3 Br 2.90
Os: 0.3333 0.6667 0.7184 x1  3 Y 2.80
Br: 0.6667 0.3333 0.3018 x1  3 Y 2.90

Properties
Density of states at the Fermi level, states/eV per atom: 1.274
E_form (uncorrected), eV per formula unit: 0.5